No. 1
VASP calculation (PBE-GGA) on a relaxed BaFeBr2 crystal.

The structure in POSCAR format:
```
BaFeBr2
1.0
-3.025 0.143 3.368
-1.788 -3.867 -1.441
2.883 -4.973 2.801
Ba Br Fe
1 2 1
Direct
0.500 0.686 0.753
0.000 0.105 0.917
0.500 0.388 0.347
0.000 0.321 0.483
```

Results
As for the size of the total moment: 2.1 μB/f.u. For the theoretical density, the calculation gives 4.802 Mg/m³. Its formation energy from raw total energies is -2.7 eV/f.u.


No. 2
VASP calculation (PBE-GGA) on a relaxed BaFeBr2 crystal.

The structure in POSCAR format:
```
BaFeBr2
1.0
8.535 0.025 0.049
-3.195 4.117 -0.036
2.145 1.689 3.320
Ba Br Fe
1 2 1
Direct
0.500 0.500 0.000
0.000 0.000 0.000
0.500 0.000 0.500
0.000 0.500 0.500
```

Results
As for the size of the total moment: 3.7 μB/f.u. For the theoretical density, the calculation gives 5.021 Mg/m³. Its formation energy from raw total energies is -2.2 eV/f.u.


No. 3
VASP calculation (PBE-GGA) on a relaxed BaFeBr2 crystal.

The structure in POSCAR format:
```
BaFeBr2
1.0
5.601 0.000 0.000
2.800 4.850 0.000
2.800 1.617 4.573
Ba Br Fe
1 2 1
Direct
0.500 0.500 0.500
0.000 0.000 0.000
0.250 0.250 0.250
0.750 0.750 0.750
```

Results
As for the size of the total moment: 4.0 μB/f.u. For the theoretical density, the calculation gives 4.719 Mg/m³. Its formation energy from raw total energies is -0.9 eV/f.u.


No. 4
VASP calculation (PBE-GGA) on a relaxed BaFe2Br crystal.

The structure in POSCAR format:
```
BaFe2Br
1.0
3.242 -3.165 2.463
1.179 0.855 4.947
-1.774 -3.171 3.659
Ba Br Fe
1 1 2
Direct
0.500 0.500 0.500
0.000 0.000 0.000
0.250 0.250 0.250
0.750 0.750 0.750
```

Results
As for the size of the total moment: 6.2 μB/f.u. For the theoretical density, the calculation gives 5.632 Mg/m³. Its formation energy from raw total energies is 3.8 eV/f.u.


No. 5
VASP calculation (PBE-GGA) on a relaxed BaFe2Br crystal.

The structure in POSCAR format:
```
BaFe2Br
1.0
4.984 0.000 0.000
0.000 4.516 -0.013
0.000 0.013 4.858
Ba Br Fe
1 1 2
Direct
0.500 0.250 0.250
0.500 0.750 0.750
0.000 0.750 0.027
0.000 0.750 0.473
```

Results
As for the size of the total moment: 5.3 μB/f.u. For the theoretical density, the calculation gives 4.995 Mg/m³. Its formation energy from raw total energies is 1.1 eV/f.u.


No. 6
VASP calculation (PBE-GGA) on a relaxed BaFe3Br crystal.

The structure in POSCAR format:
```
BaFe3Br
1.0
-3.811 -1.187 2.497
-1.976 -1.806 -3.874
1.935 -4.183 0.963
Ba Br Fe
1 1 3
Direct
0.500 0.500 0.500
0.000 0.000 0.000
0.000 0.500 0.000
0.000 0.000 0.500
0.500 0.000 0.000
```

Results
As for the size of the total moment: 6.1 μB/f.u. For the theoretical density, the calculation gives 6.121 Mg/m³. Its formation energy from raw total energies is 5.1 eV/f.u.


No. 7
VASP calculation (PBE-GGA) on a relaxed BaFeBr2 crystal.

The structure in POSCAR format:
```
BaFeBr2
1.0
-4.487 -0.058 -4.907
0.118 -4.687 -4.715
0.223 0.496 6.627
Ba Br Fe
1 2 1
Direct
0.750 0.250 0.500
0.000 0.000 0.000
0.250 0.750 0.500
0.500 0.500 0.000
```

Results
As for the size of the total moment: 3.8 μB/f.u. For the theoretical density, the calculation gives 4.743 Mg/m³. Its formation energy from raw total energies is -1.8 eV/f.u.


No. 8
VASP calculation (PBE-GGA) on a relaxed BaFe2Br crystal.

The structure in POSCAR format:
```
BaFe2Br
1.0
-2.922 -2.208 -1.329
-0.258 -1.748 3.472
-4.438 4.659 2.015
Ba Br Fe
1 1 2
Direct
0.500 0.500 0.250
0.500 0.500 0.750
0.000 0.000 0.916
0.000 0.000 0.584
```

Results
As for the size of the total moment: 6.5 μB/f.u. For the theoretical density, the calculation gives 5.337 Mg/m³. Its formation energy from raw total energies is 2.6 eV/f.u.


| no. | energy above the lowest structure with this stoichiometry (eV/atom) |
| --- | --- |
| 1 | 0.0000 |
| 2 | 0.1215 |
| 3 | 0.4389 |
| 4 | 0.8470 |
| 5 | 0.1768 |
| 6 | 0.0000 |
| 7 | 0.2111 |
| 8 | 0.5434 |